1.
This record from Alexandria describes crystalline Ho3Er2In7 at its relaxed geometry. The functional is PBE.

As for the space-group type: Cmmm (65). The value obtained for the total magnetization is 0.96 μB/cell. The crystal system is orthorhombic. The calculated formation energy is -0.21 eV/atom.

```
data_Ho3Er2In7
_cell_length_a 15.282
_cell_length_b 15.282
_cell_length_c 4.634
_cell_angle_alpha 90.00
_cell_angle_beta 90.00
_cell_angle_gamma 161.87
_symmetry_space_group_name_H-M 'P 1'
_symmetry_Int_Tables_number 1
loop_
_symmetry_equiv_pos_as_xyz
'x,y,z'
loop_
_atom_site_label
_atom_site_type_symbol
_atom_site_fract_x
_atom_site_fract_y
_atom_site_fract_z
Ho1 Ho 0.000 0.000 0.000
Ho2 Ho 0.147 0.853 0.000
Ho3 Ho 0.853 0.147 0.000
Er1 Er 0.341 0.659 0.500
Er2 Er 0.659 0.341 0.500
In1 In 0.077 0.923 0.500
In2 In 0.225 0.775 0.500
In3 In 0.422 0.578 0.000
In4 In 0.500 0.500 0.500
In5 In 0.578 0.422 0.000
In6 In 0.775 0.225 0.500
In7 In 0.923 0.077 0.500
```

2.
This record from Alexandria describes crystalline Ho5ErIn6 at its relaxed geometry. The functional is PBE.

As for the space-group type: Cmmm (65). The value obtained for the total magnetization is 0.00 μB/cell. The crystal system is orthorhombic. The calculated formation energy is -0.45 eV/atom.

```
data_Ho5ErIn6
_cell_length_a 8.382
_cell_length_b 8.382
_cell_length_c 7.455
_cell_angle_alpha 90.00
_cell_angle_beta 90.00
_cell_angle_gamma 143.15
_symmetry_space_group_name_H-M 'P 1'
_symmetry_Int_Tables_number 1
loop_
_symmetry_equiv_pos_as_xyz
'x,y,z'
loop_
_atom_site_label
_atom_site_type_symbol
_atom_site_fract_x
_atom_site_fract_y
_atom_site_fract_z
Ho1 Ho 0.000 0.000 0.000
Ho2 Ho 0.333 0.667 0.000
Ho3 Ho 0.333 0.667 0.500
Ho4 Ho 0.667 0.333 0.000
Ho5 Ho 0.667 0.333 0.500
Er1 Er 0.000 0.000 0.500
In1 In 0.166 0.834 0.250
In2 In 0.166 0.834 0.750
In3 In 0.500 0.500 0.250
In4 In 0.500 0.500 0.750
In5 In 0.834 0.166 0.250
In6 In 0.834 0.166 0.750
```

3.
This record from Alexandria describes crystalline Ho5Er4In at its relaxed geometry. The functional is PBE.

As for the space-group type: I4mm (107). The value obtained for the total magnetization is 0.00 μB/cell. The crystal system is tetragonal. The calculated formation energy is 0.14 eV/atom.

```
data_Ho5Er4In
_cell_length_a 7.965
_cell_length_b 7.965
_cell_length_c 7.965
_cell_angle_alpha 97.47
_cell_angle_beta 97.47
_cell_angle_gamma 137.72
_symmetry_space_group_name_H-M 'P 1'
_symmetry_Int_Tables_number 1
loop_
_symmetry_equiv_pos_as_xyz
'x,y,z'
loop_
_atom_site_label
_atom_site_type_symbol
_atom_site_fract_x
_atom_site_fract_y
_atom_site_fract_z
Ho1 Ho 0.000 0.000 0.000
Ho2 Ho 0.101 0.101 0.628
Ho3 Ho 0.101 0.472 0.000
Ho4 Ho 0.472 0.101 0.000
Ho5 Ho 0.472 0.472 0.372
Er1 Er 0.106 0.789 0.317
Er2 Er 0.473 0.789 0.683
Er3 Er 0.789 0.106 0.317
Er4 Er 0.789 0.473 0.683
In1 In 0.518 0.518 0.000
```

4.
This record from Alexandria describes crystalline Ho4Er9In11 at its relaxed geometry. The functional is PBE.

As for the space-group type: Cmmm (65). The value obtained for the total magnetization is 0.00 μB/cell. The crystal system is orthorhombic. The calculated formation energy is -0.38 eV/atom.

```
data_Ho4Er9In11
_cell_length_a 14.013
_cell_length_b 14.013
_cell_length_c 3.470
_cell_angle_alpha 90.00
_cell_angle_beta 90.00
_cell_angle_gamma 111.34
_symmetry_space_group_name_H-M 'P 1'
_symmetry_Int_Tables_number 1
loop_
_symmetry_equiv_pos_as_xyz
'x,y,z'
loop_
_atom_site_label
_atom_site_type_symbol
_atom_site_fract_x
_atom_site_fract_y
_atom_site_fract_z
Ho1 Ho 0.090 0.254 0.000
Ho2 Ho 0.254 0.090 0.000
Ho3 Ho 0.746 0.910 0.000
Ho4 Ho 0.910 0.746 0.000
Er1 Er 0.000 0.000 0.000
Er2 Er 0.112 0.665 0.000
Er3 Er 0.297 0.488 0.000
Er4 Er 0.335 0.888 0.000
Er5 Er 0.488 0.297 0.000
Er6 Er 0.512 0.703 0.000
Er7 Er 0.665 0.112 0.000
Er8 Er 0.703 0.512 0.000
Er9 Er 0.888 0.335 0.000
In1 In 0.091 0.457 0.500
In2 In 0.121 0.879 0.500
In3 In 0.294 0.294 0.500
In4 In 0.312 0.688 0.500
In5 In 0.457 0.091 0.500
In6 In 0.500 0.500 0.500
In7 In 0.543 0.909 0.500
In8 In 0.688 0.312 0.500
In9 In 0.706 0.706 0.500
In10 In 0.879 0.121 0.500
In11 In 0.909 0.543 0.500
```

5.
This record from Alexandria describes crystalline HoEr6In2 at its relaxed geometry. The functional is PBE.

As for the space-group type: C2/m (12). The value obtained for the total magnetization is 0.00 μB/cell. The crystal system is monoclinic. The calculated formation energy is -0.20 eV/atom.

```
data_HoEr6In2
_cell_length_a 6.558
_cell_length_b 6.558
_cell_length_c 11.830
_cell_angle_alpha 107.38
_cell_angle_beta 107.38
_cell_angle_gamma 32.80
_symmetry_space_group_name_H-M 'P 1'
_symmetry_Int_Tables_number 1
loop_
_symmetry_equiv_pos_as_xyz
'x,y,z'
loop_
_atom_site_label
_atom_site_type_symbol
_atom_site_fract_x
_atom_site_fract_y
_atom_site_fract_z
Ho1 Ho 0.000 0.000 0.000
Er1 Er 0.015 0.015 0.343
Er2 Er 0.311 0.311 0.416
Er3 Er 0.317 0.317 0.123
Er4 Er 0.683 0.683 0.877
Er5 Er 0.689 0.689 0.584
Er6 Er 0.985 0.985 0.657
In1 In 0.356 0.356 0.793
In2 In 0.644 0.644 0.207
```

6.
This record from Alexandria describes crystalline Ho2Er3In3 at its relaxed geometry. The functional is PBE.

As for the space-group type: Immm (71). The value obtained for the total magnetization is 0.01 μB/cell. The crystal system is orthorhombic. The calculated formation energy is -0.34 eV/atom.

```
data_Ho2Er3In3
_cell_length_a 4.409
_cell_length_b 4.866
_cell_length_c 20.227
_cell_angle_alpha 90.00
_cell_angle_beta 90.00
_cell_angle_gamma 90.00
_symmetry_space_group_name_H-M 'P 1'
_symmetry_Int_Tables_number 1
loop_
_symmetry_equiv_pos_as_xyz
'x,y,z'
loop_
_atom_site_label
_atom_site_type_symbol
_atom_site_fract_x
_atom_site_fract_y
_atom_site_fract_z
Ho1 Ho 0.000 0.000 0.239
Ho2 Ho 0.000 0.000 0.761
Ho3 Ho 0.500 0.500 0.261
Ho4 Ho 0.500 0.500 0.739
Er1 Er 0.000 0.000 0.000
Er2 Er 0.000 0.500 0.119
Er3 Er 0.000 0.500 0.881
Er4 Er 0.500 0.000 0.381
Er5 Er 0.500 0.000 0.619
Er6 Er 0.500 0.500 0.500
In1 In 0.000 0.000 0.500
In2 In 0.000 0.500 0.375
In3 In 0.000 0.500 0.625
In4 In 0.500 0.000 0.125
In5 In 0.500 0.000 0.875
In6 In 0.500 0.500 0.000
```

7.
This record from Alexandria describes crystalline Ho8Er6In at its relaxed geometry. The functional is PBE.

As for the space-group type: R-3 (148). The value obtained for the total magnetization is 0.00 μB/cell. The crystal system is trigonal. The calculated formation energy is 0.03 eV/atom.

```
data_Ho8Er6In
_cell_length_a 8.421
_cell_length_b 8.421
_cell_length_c 8.421
_cell_angle_alpha 63.81
_cell_angle_beta 63.81
_cell_angle_gamma 63.81
_symmetry_space_group_name_H-M 'P 1'
_symmetry_Int_Tables_number 1
loop_
_symmetry_equiv_pos_as_xyz
'x,y,z'
loop_
_atom_site_label
_atom_site_type_symbol
_atom_site_fract_x
_atom_site_fract_y
_atom_site_fract_z
Ho1 Ho 0.076 0.076 0.076
Ho2 Ho 0.215 0.608 0.248
Ho3 Ho 0.248 0.215 0.608
Ho4 Ho 0.392 0.752 0.785
Ho5 Ho 0.608 0.248 0.215
Ho6 Ho 0.752 0.785 0.392
Ho7 Ho 0.785 0.392 0.752
Ho8 Ho 0.924 0.924 0.924
Er1 Er 0.049 0.606 0.731
Er2 Er 0.269 0.951 0.394
Er3 Er 0.394 0.269 0.951
Er4 Er 0.606 0.731 0.049
Er5 Er 0.731 0.049 0.606
Er6 Er 0.951 0.394 0.269
In1 In 0.500 0.500 0.500
```

8.
This record from Alexandria describes crystalline HoErIn at its relaxed geometry. The functional is PBE.

As for the space-group type: Cmmm (65). The value obtained for the total magnetization is 3.80 μB/cell. The crystal system is orthorhombic. The calculated formation energy is 0.22 eV/atom.

```
data_HoErIn
_cell_length_a 9.312
_cell_length_b 9.372
_cell_length_c 5.000
_cell_angle_alpha 90.00
_cell_angle_beta 90.00
_cell_angle_gamma 90.00
_symmetry_space_group_name_H-M 'P 1'
_symmetry_Int_Tables_number 1
loop_
_symmetry_equiv_pos_as_xyz
'x,y,z'
loop_
_atom_site_label
_atom_site_type_symbol
_atom_site_fract_x
_atom_site_fract_y
_atom_site_fract_z
Ho1 Ho 0.000 0.184 0.000
Ho2 Ho 0.000 0.816 0.000
Ho3 Ho 0.500 0.316 0.000
Ho4 Ho 0.500 0.684 0.000
Er1 Er 0.183 0.500 0.500
Er2 Er 0.317 0.000 0.500
Er3 Er 0.683 0.000 0.500
Er4 Er 0.817 0.500 0.500
In1 In 0.000 0.000 0.500
In2 In 0.000 0.500 0.000
In3 In 0.500 0.000 0.000
In4 In 0.500 0.500 0.500
```